## Cr2FePt2 (PBE-GGA)

Data for Cr2FePt2 after structural relaxation. Values from VASP.

Results
* ΔE_f: 0.11 eV per atom
* magnetic moment: 1.8 μB/f.u.
* energy: -7.84 eV/atom

Geometry as Quantum ESPRESSO input:
```
&SYSTEM
  ibrav = 0, nat = 10, ntyp = 3
/
ATOMIC_SPECIES
Cr 52.00 Cr.upf
Fe 55.84 Fe.upf
Pt 195.08 Pt.upf
CELL_PARAMETERS angstrom
7.336 0.000 0.000
0.000 7.336 0.000
0.000 0.000 2.786
ATOMIC_POSITIONS crystal
Cr 0.163 0.337 0.000
Cr 0.337 0.837 0.000
Cr 0.663 0.163 0.000
Cr 0.837 0.663 0.000
Fe 0.000 0.000 0.500
Fe 0.500 0.500 0.500
Pt 0.136 0.636 0.500
Pt 0.364 0.136 0.500
Pt 0.636 0.864 0.500
Pt 0.864 0.364 0.500
```


## SrMg6Sb (PBE-GGA)

Data for SrMg6Sb after structural relaxation. Values from VASP.

Results
* magnetic moment: 0.0 μB/f.u.
* energy: -2.01 eV/atom

Geometry as Quantum ESPRESSO input:
```
&SYSTEM
  ibrav = 0, nat = 8, ntyp = 3
/
ATOMIC_SPECIES
Sr 87.62 Sr.upf
Mg 24.30 Mg.upf
Sb 121.76 Sb.upf
CELL_PARAMETERS angstrom
4.959 0.000 0.000
0.000 3.288 6.597
0.000 -3.288 6.597
ATOMIC_POSITIONS crystal
Sr 0.000 0.000 0.000
Mg 0.000 0.040 0.495
Mg 0.000 0.495 0.040
Mg 0.000 0.561 0.561
Mg 0.500 0.380 0.890
Mg 0.500 0.405 0.405
Mg 0.500 0.890 0.380
Sb 0.500 0.826 0.826
```


## Cd2Cu (PBE-GGA)

Data for Cd2Cu after structural relaxation. Values from VASP.

Results
* ΔE_f: 0.21 eV per atom
* magnetic moment: 0.0 μB/f.u.
* energy: -1.77 eV/atom

Geometry as Quantum ESPRESSO input:
```
&SYSTEM
  ibrav = 0, nat = 6, ntyp = 2
/
ATOMIC_SPECIES
Cd 112.41 Cd.upf
Cu 63.55 Cu.upf
CELL_PARAMETERS angstrom
4.004 0.000 0.000
-2.002 3.468 0.000
0.000 0.000 9.288
ATOMIC_POSITIONS crystal
Cd 0.333 0.667 0.094
Cd 0.333 0.667 0.406
Cd 0.667 0.333 0.594
Cd 0.667 0.333 0.906
Cu 0.333 0.667 0.750
Cu 0.667 0.333 0.250
```


## MnRh3 (PBE-GGA)

Data for MnRh3 after structural relaxation. Values from VASP.

Results
* ΔE_f: -0.08 eV per atom
* magnetic moment: 3.0 μB/f.u.
* energy: -7.89 eV/atom

Geometry as Quantum ESPRESSO input:
```
&SYSTEM
  ibrav = 0, nat = 4, ntyp = 2
/
ATOMIC_SPECIES
Mn 54.94 Mn.upf
Rh 102.91 Rh.upf
CELL_PARAMETERS angstrom
2.704 -3.751 0.000
2.704 3.751 0.000
0.000 0.000 2.752
ATOMIC_POSITIONS crystal
Mn 0.000 0.000 0.000
Rh 0.000 0.500 0.500
Rh 0.500 0.000 0.500
Rh 0.500 0.500 0.000
```


## KPr5Te6 (PBE-GGA)

Data for KPr5Te6 after structural relaxation. Values from VASP.

Results
* magnetic moment: 0.0 μB/f.u.
* energy: -5.07 eV/atom

Geometry as Quantum ESPRESSO input:
```
&SYSTEM
  ibrav = 0, nat = 12, ntyp = 3
/
ATOMIC_SPECIES
K 39.10 K.upf
Pr 140.91 Pr.upf
Te 127.60 Te.upf
CELL_PARAMETERS angstrom
3.955 -6.847 0.000
3.955 6.847 0.000
-2.641 0.000 7.517
ATOMIC_POSITIONS crystal
K 0.000 0.000 0.000
Pr 0.160 0.840 0.500
Pr 0.334 0.666 0.000
Pr 0.500 0.500 0.500
Pr 0.666 0.334 0.000
Pr 0.840 0.160 0.500
Te 0.085 0.426 0.257
Te 0.257 0.257 0.752
Te 0.426 0.085 0.257
Te 0.574 0.915 0.743
Te 0.743 0.743 0.248
Te 0.915 0.574 0.743
```


## Cr2CuHg2 (PBE-GGA)

Data for Cr2CuHg2 after structural relaxation. Values from VASP.

Results
* ΔE_f: 0.59 eV per atom
* magnetic moment: 0.0 μB/f.u.
* energy: -4.20 eV/atom
* distance to the lowest polymorph of the same formula: 0.000 eV/atom

Geometry as Quantum ESPRESSO input:
```
&SYSTEM
  ibrav = 0, nat = 5, ntyp = 3
/
ATOMIC_SPECIES
Cr 52.00 Cr.upf
Cu 63.55 Cu.upf
Hg 200.59 Hg.upf
CELL_PARAMETERS angstrom
-1.641 1.641 7.634
1.641 -1.641 7.634
1.641 1.641 -7.634
ATOMIC_POSITIONS crystal
Cr 0.250 0.750 0.500
Cr 0.750 0.250 0.500
Cu 0.000 0.000 0.000
Hg 0.400 0.400 0.000
Hg 0.600 0.600 0.000
```


## CeEr3Tm8 (PBE-GGA)

Data for CeEr3Tm8 after structural relaxation. Values from VASP.

Results
* ΔE_f: 0.77 eV per atom
* magnetic moment: 1.9 μB/f.u.
* energy: -3.85 eV/atom

Geometry as Quantum ESPRESSO input:
```
&SYSTEM
  ibrav = 0, nat = 12, ntyp = 3
/
ATOMIC_SPECIES
Ce 140.12 Ce.upf
Er 167.26 Er.upf
Tm 168.93 Tm.upf
CELL_PARAMETERS angstrom
-3.775 3.775 7.570
3.775 -3.775 7.570
3.775 3.775 -7.570
ATOMIC_POSITIONS crystal
Ce 0.000 0.000 0.000
Er 0.250 0.750 0.500
Er 0.500 0.500 0.000
Er 0.750 0.250 0.500
Tm 0.124 0.124 0.497
Tm 0.124 0.627 0.000
Tm 0.373 0.373 0.497
Tm 0.373 0.876 0.000
Tm 0.627 0.124 0.000
Tm 0.627 0.627 0.503
Tm 0.876 0.373 0.000
Tm 0.876 0.876 0.503
```


## CoCuSeBr2 (PBE-GGA)

Data for CoCuSeBr2 after structural relaxation. Values from VASP.

Results
* magnetic moment: 0.0 μB/f.u.
* energy: -3.19 eV/atom
* distance to the lowest polymorph of the same formula: 0.000 eV/atom

Geometry as Quantum ESPRESSO input:
```
&SYSTEM
  ibrav = 0, nat = 5, ntyp = 4
/
ATOMIC_SPECIES
Co 58.93 Co.upf
Cu 63.55 Cu.upf
Se 78.96 Se.upf
Br 79.90 Br.upf
CELL_PARAMETERS angstrom
5.083 0.000 0.000
0.000 5.083 0.000
0.000 0.000 4.431
ATOMIC_POSITIONS crystal
Co 0.000 0.000 0.000
Cu 0.500 0.500 0.500
Se 0.000 0.000 0.500
Br 0.000 0.500 0.000
Br 0.500 0.000 0.000
```


| no. | density of states at the Fermi level (states/eV/cell) |
| --- | --- |
| 1 | 12.300 |
| 2 | 4.144 |
| 3 | 2.411 |
| 4 | 5.576 |
| 5 | 6.068 |
| 6 | 3.337 |
| 7 | 16.152 |
| 8 | 4.214 |